A.
# YCr2Ni, optimized geometry, DFT PBE
data_YCr2Ni
_chemical_formula_sum 'Y1 Cr2 Ni1'
_cell_length_a 4.1543
_cell_length_b 4.1543
_cell_length_c 5.4958
_cell_angle_alpha 68.00
_cell_angle_beta 68.00
_cell_angle_gamma 54.80
_symmetry_space_group_name_H-M 'P 1'
_symmetry_Int_Tables_number 1
_symmetry_space_group_name_Hall 'P 1'
loop_
_atom_site_label
_atom_site_type_symbol
_atom_site_fract_x
_atom_site_fract_y
_atom_site_fract_z
Cr1 Cr 0.7619 0.7619 0.7087
Cr2 Cr 0.0465 0.0465 0.8759
Ni1 Ni 0.4520 0.4520 0.6573
Y1 Y 0.2397 0.2397 0.2581
# Size of the total moment   0.951 μB/f.u.


B.
# YCr2Ni, optimized geometry, DFT PBE
data_YCr2Ni
_chemical_formula_sum 'Y1 Cr2 Ni1'
_cell_length_a 4.5271
_cell_length_b 4.5271
_cell_length_c 4.5271
_cell_angle_alpha 119.85
_cell_angle_beta 119.82
_cell_angle_gamma 90.29
_symmetry_space_group_name_H-M 'P 1'
_symmetry_Int_Tables_number 1
_symmetry_space_group_name_Hall 'P 1'
loop_
_atom_site_label
_atom_site_type_symbol
_atom_site_fract_x
_atom_site_fract_y
_atom_site_fract_z
Y1 Y 0.2500 0.7500 0.5000
Cr1 Cr 0.7499 0.2499 0.5000
Cr2 Cr 0.9998 0.9998 0.0000
Ni1 Ni 0.5002 0.5002 0.0000
# Size of the total moment   0.976 μB/f.u.


According to the calculations, the structures order from most to least stable as A, B.


A.
# YCr2Ni, optimized geometry, DFT PBE
data_YCr2Ni
_chemical_formula_sum 'Y1 Cr2 Ni1'
_cell_length_a 4.7363
_cell_length_b 4.7363
_cell_length_c 4.9717
_cell_angle_alpha 76.54
_cell_angle_beta 76.54
_cell_angle_gamma 37.89
_symmetry_space_group_name_H-M 'P 1'
_symmetry_Int_Tables_number 1
_symmetry_space_group_name_Hall 'P 1'
loop_
_atom_site_label
_atom_site_type_symbol
_atom_site_fract_x
_atom_site_fract_y
_atom_site_fract_z
Ni1 Ni 0.7500 0.7500 0.7500
Y1 Y 0.2500 0.2500 0.2500
Cr1 Cr 0.0294 0.0294 0.8805
Cr2 Cr 0.4706 0.4706 0.6195
# Size of the total moment   0.000 μB/f.u.


B.
# YCr2Ni, optimized geometry, DFT PBE
data_YCr2Ni
_chemical_formula_sum 'Y1 Cr2 Ni1'
_cell_length_a 3.2370
_cell_length_b 3.2370
_cell_length_c 6.2798
_cell_angle_alpha 90.00
_cell_angle_beta 90.00
_cell_angle_gamma 90.00
_symmetry_space_group_name_H-M 'P 1'
_symmetry_Int_Tables_number 1
_symmetry_space_group_name_Hall 'P 1'
loop_
_atom_site_label
_atom_site_type_symbol
_atom_site_fract_x
_atom_site_fract_y
_atom_site_fract_z
Cr1 Cr 0.0000 0.0000 0.0941
Cr2 Cr 0.0000 0.0000 0.4059
Ni1 Ni 0.5000 0.5000 0.2500
Y1 Y 0.5000 0.5000 0.7500
# Size of the total moment   1.065 μB/f.u.


According to the calculations, the structures order from most to least stable as A, B.